No. 1
## Pr2Zn7Ag (PBE)

Data for a geometry-optimized Pr2Zn7Ag structure.

Results
VASP energy   -2.421 eV/atom
Energy of formation from the pure elements   -0.29 eV per atom

CIF file:
```
data_Pr2Zn7Ag
_space_group_name_H-M_alt 'P -4 m 2'
_space_group_IT_number 115
_cell_length_a 4.307
_cell_length_b 4.307
_cell_length_c 10.682
_cell_angle_alpha 90.00
_cell_angle_beta 90.00
_cell_angle_gamma 90.00
loop_
_space_group_symop_operation_xyz
'x,y,z'
'y,-x,-z'
'-x,-y,z'
'-y,x,-z'
'-x,y,z'
'-y,-x,-z'
'x,-y,z'
'y,x,-z'
loop_
_atom_site_label
_atom_site_type_symbol
_atom_site_fract_x
_atom_site_fract_y
_atom_site_fract_z
Pr1 Pr 0.000 0.500 0.240
Zn1 Zn 0.000 0.000 0.000
Zn2 Zn 0.000 0.500 0.642
Zn3 Zn 0.000 0.500 0.873
Zn4 Zn 0.500 0.500 0.000
Zn5 Zn 0.500 0.500 0.500
Ag1 Ag 0.000 0.000 0.500
```

No. 2
## SmDy5As6 (PBE)

Data for a geometry-optimized SmDy5As6 structure.

Results
VASP energy   -6.169 eV/atom
Energy of formation from the pure elements   -1.53 eV per atom

CIF file:
```
data_SmDy5As6
_space_group_name_H-M_alt 'C 1 2/m 1'
_space_group_IT_number 12
_cell_length_a 7.163
_cell_length_b 12.404
_cell_length_c 7.161
_cell_angle_alpha 90.00
_cell_angle_beta 109.45
_cell_angle_gamma 90.00
loop_
_space_group_symop_operation_xyz
'x,y,z'
'-x,-y,-z'
'-x,y,-z'
'x,-y,z'
'x+1/2,y+1/2,z'
'-x+1/2,-y+1/2,-z'
'-x+1/2,y+1/2,-z'
'x+1/2,-y+1/2,z'
loop_
_atom_site_label
_atom_site_type_symbol
_atom_site_fract_x
_atom_site_fract_y
_atom_site_fract_z
Sm1 Sm 0.000 0.000 0.000
Dy1 Dy 0.000 0.166 0.500
Dy2 Dy 0.000 0.333 0.000
Dy3 Dy 0.000 0.500 0.500
As1 As 0.247 0.500 0.252
As2 As 0.248 0.332 0.748
```